First-principles (PBE-GGA) data for a relaxed structure of Y2ZnSe2, as listed in Alexandria via LeMat-Bulk.

Properties
**V**: 118.52 Å³/f.u.
**E_tot**: -53.653 eV per cell
**Fermi-level density of states**: 0.52 states/eV per atom
**ΔE_f (raw)**: -1.13 eV per atom
**Crystal system**: tetragonal

Lattice parameters (Å, degrees): 7.9222 7.9222 3.7767 90.00 90.00 90.00
Closest atoms and distances in Å follow each position.
Space group P4/mbm (No. 127)
Asymmetric unit:
1 Y 0.1573 0.3427 0.0000 [4 per cell]  6 Se 2.91-3.05, 2 Zn 2.99
2 Zn 0.0000 0.0000 0.0000 [2 per cell]  4 Y 2.99
3 Se 0.1446 0.6446 0.5000 [4 per cell]  6 Y 2.91-3.05, 1 Se 3.24